K2LiCaLa | PBEsol | relaxed

Geometry as extended XYZ:
```
5
Lattice="6.4966 0.0000 0.0000 0.0000 6.9173 0.0000 0.0000 0.0000 6.9173" Properties=species:S:1:pos:R:3 pbc="T T T"
La 3.2483 0.0000 0.0000
K 0.0000 3.4587 0.0000
K 0.0000 0.0000 3.4587
Ca 0.0000 0.0000 0.0000
Li 3.2483 3.4587 3.4587
```

Properties
calculated formation energy = 410 kJ/mol of formula units
calculated total energy = -7.5 eV per cell
size of the total moment = 0.593 μB/atom